A plane-wave DFT calculation with GGA-PBE was carried out for crystalline CrHS2 at its relaxed geometry.

Output
Energy above the most stable polymorph in this dataset ... 321.0 meV per atom
DFT total energy ... -21.80 eV/f.u.
Density of states at the Fermi level ... 0.66 states/eV per atom

a = 13.451 Å, b = 5.318 Å, c = 4.950 Å
α = 90.00°, β = 122.36°, γ = 90.00°
Each line ends with the local moment (μB).
Sites, in units of the cell vectors:
Cr: 0.250 0.501 0.250  2.18
Cr: 0.250 0.001 0.250  2.18
Cr: 0.750 0.999 0.750  2.18
Cr: 0.750 0.499 0.750  2.18
S: 0.140 0.751 0.375  -0.06
S: 0.639 0.749 0.303  -0.06
S: 0.640 0.749 0.875  -0.06
S: 0.861 0.249 0.197  -0.06
S: 0.361 0.251 0.697  -0.06
S: 0.139 0.751 0.803  -0.06
S: 0.360 0.251 0.125  -0.06
S: 0.860 0.249 0.625  -0.06
H: 0.649 0.249 0.604  -0.04
H: 0.149 0.251 0.104  -0.04
H: 0.851 0.749 0.896  -0.04
H: 0.351 0.751 0.396  -0.04

A plane-wave DFT calculation with GGA-PBE was carried out for crystalline Cs2NaPbBr5 at its relaxed geometry.

Output
DFT total energy ... -28.17 eV/f.u.
Formation energy (no corrections) ... -1.453 eV per atom
Density of states at the Fermi level ... 0.00 states/eV per atom

a = 4.730 Å, b = 10.589 Å, c = 15.386 Å
α = 90.00°, β = 90.00°, γ = 102.90°
Sites, in units of the cell vectors:
Br: 0.727 0.453 0.154
Br: 0.500 0.999 0.287
Br: 0.931 0.862 0.552
Br: 0.696 0.392 0.893
Br: 0.069 0.138 0.052
Br: 0.304 0.608 0.393
Br: 0.360 0.720 0.994
Br: 0.500 0.001 0.787
Br: 0.640 0.280 0.494
Br: 0.273 0.547 0.654
Na: 0.443 0.886 0.450
Na: 0.557 0.114 0.950
Pb: 0.782 0.565 0.522
Pb: 0.218 0.435 0.022
Cs: 0.871 0.741 0.802
Cs: 0.905 0.810 0.170
Cs: 0.095 0.190 0.670
Cs: 0.129 0.259 0.302

Which formula does entry 1 have?
CrHS2

Which of these has the highest density of states at the Fermi level?
CrHS2